This record from Alexandria describes a relaxed CdF2 crystal. The functional is PBE-GGA.

Calculated values
The symmetry is No. 225. The total DFT energy (no corrections) comes out at -3.754 eV/atom. The calculation puts the uncorrected formation energy at -2.201 eV/atom.

Lattice parameters (Å, degrees): 3.876 3.880 3.880 60.07 60.03 60.03
Atoms (fractional coordinates):
F1 0.250 0.250 0.250
F2 0.750 0.750 0.750
Cd1 0.000 0.000 0.000